1.
The following is a GGA+U calculation of crystalline CoPO4 at its relaxed geometry, from Alexandria.

a b c (Å): 7.437 7.437 9.384
angles (deg): 90.00 90.00 120.00
Positions (direct):
Co: 0.063 0.444 0.000
Co: 0.381 0.937 0.000
Co: 0.444 0.063 0.500
Co: 0.556 0.619 0.000
Co: 0.619 0.556 0.500
Co: 0.937 0.381 0.500
P: 0.000 0.000 0.058
P: 0.000 0.000 0.558
P: 0.333 0.667 0.315
P: 0.333 0.667 0.703
P: 0.667 0.333 0.203
P: 0.667 0.333 0.815
O: 0.000 0.000 0.217
O: 0.000 0.000 0.717
O: 0.109 0.583 0.369
O: 0.111 0.227 0.994
O: 0.116 0.889 0.994
O: 0.127 0.481 0.655
O: 0.227 0.111 0.494
O: 0.333 0.667 0.146
O: 0.333 0.667 0.875
O: 0.353 0.873 0.655
O: 0.417 0.526 0.369
O: 0.474 0.891 0.369
O: 0.481 0.127 0.155
O: 0.519 0.647 0.655
O: 0.526 0.417 0.869
O: 0.583 0.109 0.869
O: 0.647 0.519 0.155
O: 0.667 0.333 0.375
O: 0.667 0.333 0.646
O: 0.773 0.884 0.994
O: 0.873 0.353 0.155
O: 0.884 0.773 0.494
O: 0.889 0.116 0.494
O: 0.891 0.474 0.869

2.
The following is a GGA+U calculation of crystalline CoP2O at its relaxed geometry, from Alexandria.

a b c (Å): 5.874 5.874 5.874
angles (deg): 131.75 131.75 70.63
Positions (direct):
Co: 0.000 0.000 0.000
Co: 0.750 0.250 0.500
P: 0.122 0.625 0.997
P: 0.375 0.372 0.497
P: 0.628 0.125 0.003
P: 0.875 0.878 0.503
O: 0.250 0.750 0.500
O: 0.500 0.500 0.000

3.
The following is a GGA+U calculation of crystalline Co3P4O14 at its relaxed geometry, from Alexandria.

a b c (Å): 5.900 7.030 7.698
angles (deg): 81.31 71.47 78.29
Positions (direct):
Co: 0.000 0.000 0.000
Co: 0.246 0.452 0.330
Co: 0.754 0.548 0.670
P: 0.223 0.681 0.696
P: 0.369 0.315 0.917
P: 0.631 0.685 0.083
P: 0.777 0.319 0.304
O: 0.083 0.600 0.585
O: 0.093 0.874 0.765
O: 0.216 0.527 0.874
O: 0.258 0.158 0.876
O: 0.354 0.306 0.120
O: 0.367 0.682 0.209
O: 0.489 0.672 0.579
O: 0.511 0.328 0.421
O: 0.633 0.318 0.791
O: 0.646 0.694 0.880
O: 0.742 0.842 0.124
O: 0.784 0.473 0.126
O: 0.907 0.126 0.235
O: 0.917 0.400 0.415

4.
The following is a GGA+U calculation of crystalline CoPO4 at its relaxed geometry, from Alexandria.

a b c (Å): 8.675 6.574 4.745
angles (deg): 90.00 90.00 90.00
Positions (direct):
Co: 0.000 0.000 0.000
Co: 0.000 0.500 0.000
Co: 0.500 0.000 0.500
Co: 0.500 0.500 0.500
P: 0.176 0.250 0.467
P: 0.324 0.750 0.967
P: 0.676 0.250 0.033
P: 0.824 0.750 0.533
O: 0.117 0.056 0.317
O: 0.117 0.444 0.317
O: 0.118 0.250 0.776
O: 0.145 0.750 0.936
O: 0.355 0.250 0.436
O: 0.382 0.750 0.276
O: 0.383 0.556 0.817
O: 0.383 0.944 0.817
O: 0.617 0.056 0.183
O: 0.617 0.444 0.183
O: 0.618 0.250 0.724
O: 0.645 0.750 0.564
O: 0.855 0.250 0.064
O: 0.882 0.750 0.224
O: 0.883 0.556 0.683
O: 0.883 0.944 0.683

no.,size of the total moment (μB/f.u.),electronic total energy (eV per atom)
1,4.03,-6.6107
2,0.00,-5.0715
3,4.96,-6.8037
4,3.99,-6.7234